Record 1
Density functional theory data (PBE) for a relaxed Na3Ac3IrO8 crystal.

Calculated values
- Size of the total moment: 1.06 μB/f.u.
- Mass density: 6.91 Mg/m³
- Formation energy (no corrections): -2.12 eV per atom

Lattice parameters (Å, degrees): 6.9933 6.9933 6.9933 62.87 62.87 62.87
With the nearest neighbours (Å) after each atom.
Element x y z (fractional)
Na1 0.0000 0.5000 0.5000  6 O 2.57-2.60
Na2 0.5000 0.0000 0.5000  6 O 2.57-2.60
Na3 0.5000 0.5000 0.0000  6 O 2.57-2.60
Ac1 0.0000 0.0000 0.5000  6 O 2.45-2.54
Ac2 0.0000 0.5000 0.0000  6 O 2.45-2.54
Ac3 0.5000 0.0000 0.0000  6 O 2.45-2.54
Ir1 0.5000 0.5000 0.5000  6 O 2.12
O1 0.2420 0.2420 0.2420  3 Ac 2.45, 3 Na 2.60
O2 0.2839 0.7095 0.7095  1 Ir 2.12
O3 0.2905 0.2905 0.7161  1 Ir 2.12
O4 0.2905 0.7161 0.2905  1 Ir 2.12
O5 0.7095 0.2839 0.7095  1 Ir 2.12
O6 0.7095 0.7095 0.2839  1 Ir 2.12
O7 0.7161 0.2905 0.2905  1 Ir 2.12
O8 0.7580 0.7580 0.7580  3 Ac 2.45, 3 Na 2.60

=====

Record 2
Density functional theory data (PBE) for a relaxed Cu3NiRh crystal.

Calculated values
- Relative energy among the computed polymorphs: 0.996 eV/atom
- ΔH_f (0 K): 1.03 eV per atom
- Size of the total moment: 0.77 μB/f.u.
- Mass density: 7.51 Mg/m³

Lattice parameters (Å, degrees): 4.2698 4.2698 4.2698 90.00 90.00 90.00
With the nearest neighbours (Å) after each atom.
Element x y z (fractional)
Cu1 0.0000 0.0000 0.5000  2 Ni 2.13
Cu2 0.0000 0.5000 0.0000  2 Ni 2.13
Cu3 0.5000 0.0000 0.0000  2 Ni 2.13
Ni1 0.0000 0.0000 0.0000  6 Cu 2.13
Rh1 0.5000 0.5000 0.5000  12 Cu 3.02